BaIn2IrCl (PBE, relaxed); uncorrected formation energy = 4.94 eV per formula unit; symmetry = No. 123; magnetization = 1.78 μB per cell; E = -2.633 eV/atom
1.0
6.7770 0.0000 0.0000
0.0000 5.6603 0.0000
0.0000 0.0000 6.7770
Cl Ba Ir In
1 1 1 2
direct
0.0000 0.5000 0.0000
0.0000 0.0000 0.0000
0.5000 0.5000 0.5000
0.5000 0.0000 0.0000
0.0000 0.0000 0.5000